1.
Density functional theory data (PBE) for a relaxed CrGaRuRh crystal.

## Properties
* ΔE to the lowest computed polymorph: 52.9 meV/atom

Lattice parameters (Å, degrees): 3.054 4.203 4.281 90.00 90.00 90.00
Space group Pmmm (No. 47)
Asymmetric unit:
Cr (0.000, 0.000, 0.000) [1 per cell]
Ga (0.000, 0.500, 0.500) [1 per cell]
Ru (0.500, 0.500, 0.000) [1 per cell]
Rh (0.500, 0.000, 0.500) [1 per cell]

---

2.
Density functional theory data (PBE) for a relaxed K3Te12P5 crystal.

## Properties
* formation energy from raw total energies: -0.004 eV per atom

Lattice parameters (Å, degrees): 17.517 17.517 17.517 90.00 90.00 90.00
Space group Ia-3d (No. 230)
Asymmetric unit:
K (0.000, 0.250, 0.125) [24 per cell]
Te (0.034, 0.050, 0.647) [96 per cell]
P (0.000, 0.000, 0.000) [16 per cell]
P (0.000, 0.250, 0.375) [24 per cell]

---

3.
Density functional theory data (PBE) for a relaxed Bi5Sb crystal.

## Properties
* formation energy from raw total energies: 0.143 eV per atom

Lattice parameters (Å, degrees): 5.695 16.868 3.856 90.00 90.00 90.00
Space group Cmmm (No. 65)
Asymmetric unit:
Bi (0.000, 0.000, 0.000) [2 per cell]
Bi (0.000, 0.170, 0.500) [4 per cell]
Bi (0.000, 0.340, 0.000) [4 per cell]
Sb (0.000, 0.500, 0.500) [2 per cell]

---

4.
Density functional theory data (PBE) for a relaxed CsAcBi4 crystal.

## Properties
* total DFT energy (no corrections): -89.28 eV per cell

Lattice parameters (Å, degrees): 9.609 9.609 9.609 90.00 90.00 90.00
Space group F-43m (No. 216)
Asymmetric unit:
Cs (0.000, 0.000, 0.000) [4 per cell]
Ac (0.250, 0.250, 0.750) [4 per cell]
Bi (0.124, 0.124, 0.376) [16 per cell]

---

5.
Density functional theory data (PBE) for a relaxed BeCd2Br crystal.

## Properties
* formation energy from raw total energies: 0.452 eV per atom
* ΔE to the lowest computed polymorph: 379.1 meV/atom

Lattice parameters (Å, degrees): 4.025 4.025 11.730 90.00 90.00 90.00
Space group I-4m2 (No. 119)
Asymmetric unit:
Be (0.000, 0.000, 0.000) [2 per cell]
Cd (0.000, 0.000, 0.500) [2 per cell]
Cd (0.000, 0.500, 0.250) [2 per cell]
Br (0.000, 0.500, 0.750) [2 per cell]

---

6.
Density functional theory data (PBE) for a relaxed RbNaEuSn crystal.

## Properties
* total DFT energy (no corrections): -69.32 eV per cell

Lattice parameters (Å, degrees): 8.160 8.160 8.160 90.00 90.00 90.00
Space group F-43m (No. 216)
Asymmetric unit:
Rb (0.000, 0.000, 0.000) [4 per cell]
Na (0.250, 0.250, 0.750) [4 per cell]
Eu (0.250, 0.250, 0.250) [4 per cell]
Sn (0.000, 0.000, 0.500) [4 per cell]